First-principles (PBE) data for a geometry-optimized RbHoNiS3 structure, as listed in the Open Quantum Materials Database.

Structure (POSCAR):
```
RbHoNiS3
1.0
10.9273 0.0000 0.0000
0.0000 4.1225 0.0000
0.0000 0.0000 11.9984
S Rb Ho Ni
12 4 4 4
Direct
0.2768 0.0000 0.7279
0.2232 0.5000 0.2279
0.9443 0.0000 0.1967
0.0557 0.5000 0.8033
0.1131 0.0000 0.4466
0.7232 0.5000 0.2721
0.4443 0.0000 0.3033
0.5557 0.5000 0.6967
0.8869 0.5000 0.5534
0.3869 0.5000 0.9466
0.7768 0.0000 0.7721
0.6131 0.0000 0.0534
0.3374 0.5000 0.5065
0.1626 0.0000 0.0065
0.8374 0.5000 0.9935
0.6626 0.0000 0.4935
0.4909 0.5000 0.1599
0.0091 0.0000 0.6599
0.5091 0.0000 0.8401
0.9909 0.5000 0.3401
0.2597 0.5000 0.7920
0.7597 0.5000 0.7080
0.2403 0.0000 0.2920
0.7403 0.0000 0.2080
```

Calculated values
* energy above the lowest structure with this stoichiometry: 72 meV/atom
* spin magnetization: 0.03 μB per atom